A plane-wave DFT calculation with PBE-GGA was carried out for a relaxed CsTeIr2 crystal.

Unit cell a=7.9480 b=7.9480 c=7.8602 alpha=90.00 beta=90.00 gamma=90.00
Closest atoms and distances in Å follow each position.
Space group I-42d (No. 122)
Asymmetric unit:
Cs1 0.0000 0.0000 0.0000  8 Ir 3.61-3.73, 2 Te 3.93
Te1 0.0000 0.0000 0.5000  4 Ir 2.49
Ir1 0.1418 0.7500 0.6250  2 Te 2.49

## Properties
Magnetization in μB per cell: 0.0
ΔE_f (raw) in eV per atom: 0.883
Mass density in g cm⁻³: 8.627